(1)
Entry from the Alexandria database: crystalline Sc8GeTe4Se3 at its relaxed geometry (PBE-GGA).

Geometry as CIF:
```
data_Sc8GeTe4Se3
_chemical_formula_sum 'Sc8 Ge1 Te4 Se3'
_cell_length_a 7.9910
_cell_length_b 8.1182
_cell_length_c 7.9911
_cell_angle_alpha 119.48
_cell_angle_beta 120.00
_cell_angle_gamma 90.00
_symmetry_space_group_name_H-M 'P 1'
_symmetry_Int_Tables_number 1
_symmetry_space_group_name_Hall 'P 1'
loop_
_atom_site_label
_atom_site_type_symbol
_atom_site_fract_x
_atom_site_fract_y
_atom_site_fract_z
Te1 Te 0.5000 0.0000 0.5000
Sc1 Sc 0.2626 0.2876 0.5251
Te2 Te 0.5000 0.0000 0.0000
Sc2 Sc 0.2347 0.7140 0.4693
Sc3 Sc 0.2550 0.2859 0.0204
Sc4 Sc 0.7375 0.7124 0.4749
Te3 Te 0.0000 0.0000 0.5000
Se1 Se 0.0000 0.5000 0.5000
Sc5 Sc 0.7653 0.2860 0.5307
Ge1 Ge 0.0000 0.5000 0.0000
Se2 Se 0.5000 0.5000 0.5000
Te4 Te 0.0000 0.0000 0.0000
Sc6 Sc 0.7654 0.2859 0.0204
Sc7 Sc 0.2346 0.7141 0.9796
Se3 Se 0.5000 0.5000 0.0000
Sc8 Sc 0.7450 0.7141 0.9796
```

Properties
final energy = -6.2013 eV per atom
formation energy (no corrections) = -1308 meV/atom
magnetization = 0.00 μB per cell

=====

(2)
Entry from the Alexandria database: crystalline La4BiAsBr2 at its relaxed geometry (PBE-GGA).

Geometry as CIF:
```
data_La4BiAsBr2
_chemical_formula_sum 'La4 Bi1 As1 Br2'
_cell_length_a 4.4777
_cell_length_b 7.6014
_cell_length_c 7.8975
_cell_angle_alpha 70.20
_cell_angle_beta 90.00
_cell_angle_gamma 90.00
_symmetry_space_group_name_H-M 'P 1'
_symmetry_Int_Tables_number 1
_symmetry_space_group_name_Hall 'P 1'
loop_
_atom_site_label
_atom_site_type_symbol
_atom_site_fract_x
_atom_site_fract_y
_atom_site_fract_z
Bi1 Bi 0.5000 0.5000 0.0000
Br1 Br 0.5000 0.0000 0.5000
La1 La 0.5000 0.2718 0.7185
La2 La 0.5000 0.7282 0.2815
La3 La 0.0000 0.7449 0.7235
As1 As 0.0000 0.5000 0.5000
Br2 Br 0.0000 0.0000 0.0000
La4 La 0.0000 0.2551 0.2765
```

Properties
final energy = -5.3044 eV per atom
formation energy (no corrections) = -1356 meV/atom
magnetization = 0.00 μB per cell

=====

(3)
Entry from the Alexandria database: crystalline Tb6YEr2Tm3 at its relaxed geometry (PBE-GGA).

Geometry as CIF:
```
data_Tb6YEr2Tm3
_chemical_formula_sum 'Tb6 Y1 Er2 Tm3'
_cell_length_a 6.1226
_cell_length_b 6.1226
_cell_length_c 11.6866
_cell_angle_alpha 94.99
_cell_angle_beta 94.99
_cell_angle_gamma 119.95
_symmetry_space_group_name_H-M 'P 1'
_symmetry_Int_Tables_number 1
_symmetry_space_group_name_Hall 'P 1'
loop_
_atom_site_label
_atom_site_type_symbol
_atom_site_fract_x
_atom_site_fract_y
_atom_site_fract_z
Er1 Er 0.3334 0.6666 0.0000
Tb1 Tb 0.2499 0.2499 0.7487
Tb2 Tb 0.0843 0.4185 0.2513
Tm1 Tm 0.8333 0.1667 0.5000
Tb3 Tb 0.7501 0.7501 0.2513
Tm2 Tm 0.1667 0.8333 0.5000
Er2 Er 0.6666 0.3334 0.0000
Tb4 Tb 0.9157 0.5815 0.7487
Y1 Y 0.0000 0.0000 0.0000
Tb5 Tb 0.5815 0.9157 0.7487
Tm3 Tm 0.5000 0.5000 0.5000
Tb6 Tb 0.4185 0.0843 0.2513
```

Properties
final energy = -4.7125 eV per atom
magnetization = 0.00 μB per cell

=====

(4)
Entry from the Alexandria database: crystalline CeGeH at its relaxed geometry (PBE-GGA).

Geometry as CIF:
```
data_CeGeH
_chemical_formula_sum 'Ce2 Ge2 H2'
_cell_length_a 3.5828
_cell_length_b 3.9924
_cell_length_c 8.6085
_cell_angle_alpha 89.90
_cell_angle_beta 77.99
_cell_angle_gamma 63.34
_symmetry_space_group_name_H-M 'P 1'
_symmetry_Int_Tables_number 1
_symmetry_space_group_name_Hall 'P 1'
loop_
_atom_site_label
_atom_site_type_symbol
_atom_site_fract_x
_atom_site_fract_y
_atom_site_fract_z
Ge1 Ge 0.4726 0.6721 0.3827
Ce1 Ce 0.3067 0.2412 0.1454
Ge2 Ge 0.7794 0.5575 0.8836
Ce2 Ce 0.6298 0.1126 0.6277
H1 H 0.2711 0.7628 0.6950
H2 H 0.0095 0.8630 0.1179
```

Properties
final energy = -5.0362 eV per atom
magnetization = 0.00 μB per cell

=====

(5)
Entry from the Alexandria database: crystalline Ce2AlSn at its relaxed geometry (PBE-GGA).

Geometry as CIF:
```
data_Ce2AlSn
_chemical_formula_sum 'Ce4 Al2 Sn2'
_cell_length_a 6.4161
_cell_length_b 6.5481
_cell_length_c 6.5481
_cell_angle_alpha 64.51
_cell_angle_beta 60.66
_cell_angle_gamma 60.66
_symmetry_space_group_name_H-M 'P 1'
_symmetry_Int_Tables_number 1
_symmetry_space_group_name_Hall 'P 1'
loop_
_atom_site_label
_atom_site_type_symbol
_atom_site_fract_x
_atom_site_fract_y
_atom_site_fract_z
Ce1 Ce 0.2216 0.2784 0.7784
Sn1 Sn 0.7500 0.2036 0.2964
Ce2 Ce 0.2784 0.7216 0.2216
Al1 Al 0.2500 0.2120 0.2880
Sn2 Sn 0.2500 0.7964 0.7036
Ce3 Ce 0.7784 0.7216 0.2216
Al2 Al 0.7500 0.7880 0.7120
Ce4 Ce 0.7216 0.2784 0.7784
```

Properties
final energy = -5.3633 eV per atom
magnetization = 2.88 μB per cell

=====

(6)
Entry from the Alexandria database: crystalline HoZnHg at its relaxed geometry (PBE-GGA).

Geometry as CIF:
```
data_HoZnHg
_chemical_formula_sum 'Ho1 Zn1 Hg1'
_cell_length_a 4.6532
_cell_length_b 4.6532
_cell_length_c 4.6532
_cell_angle_alpha 60.00
_cell_angle_beta 60.00
_cell_angle_gamma 60.00
_symmetry_space_group_name_H-M 'P 1'
_symmetry_Int_Tables_number 1
_symmetry_space_group_name_Hall 'P 1'
loop_
_atom_site_label
_atom_site_type_symbol
_atom_site_fract_x
_atom_site_fract_y
_atom_site_fract_z
Ho1 Ho 0.0000 0.0000 0.0000
Zn1 Zn 0.2500 0.2500 0.2500
Hg1 Hg 0.5000 0.5000 0.5000
```

Properties
final energy = -2.2761 eV per atom
magnetization = 0.00 μB per cell

=====

(7)
Entry from the Alexandria database: crystalline FeAg2Te at its relaxed geometry (PBE-GGA).

Geometry as CIF:
```
data_FeAg2Te
_chemical_formula_sum 'Fe1 Ag2 Te1'
_cell_length_a 2.9859
_cell_length_b 2.9859
_cell_length_c 9.0370
_cell_angle_alpha 90.00
_cell_angle_beta 90.00
_cell_angle_gamma 89.99
_symmetry_space_group_name_H-M 'P 1'
_symmetry_Int_Tables_number 1
_symmetry_space_group_name_Hall 'P 1'
loop_
_atom_site_label
_atom_site_type_symbol
_atom_site_fract_x
_atom_site_fract_y
_atom_site_fract_z
Ag1 Ag 0.0000 0.0000 0.0493
Fe1 Fe 0.5000 0.5000 0.2500
Ag2 Ag 0.0000 0.0000 0.4507
Te1 Te 0.5000 0.5000 0.7500
```

Properties
final energy = -3.9255 eV per atom
formation energy (no corrections) = 401 meV/atom
magnetization = 3.03 μB per cell

=====

(8)
Entry from the Alexandria database: crystalline Nd2MgTl3Se6 at its relaxed geometry (PBE-GGA).

Geometry as CIF:
```
data_Nd2MgTl3Se6
_chemical_formula_sum 'Nd2 Mg1 Tl3 Se6'
_cell_length_a 7.3620
_cell_length_b 7.3620
_cell_length_c 7.8910
_cell_angle_alpha 99.00
_cell_angle_beta 99.00
_cell_angle_gamma 120.03
_symmetry_space_group_name_H-M 'P 1'
_symmetry_Int_Tables_number 1
_symmetry_space_group_name_Hall 'P 1'
loop_
_atom_site_label
_atom_site_type_symbol
_atom_site_fract_x
_atom_site_fract_y
_atom_site_fract_z
Se1 Se 0.3889 0.0696 0.2099
Se2 Se 0.0696 0.3889 0.2099
Se3 Se 0.6111 0.9304 0.7901
Tl1 Tl 0.5000 0.5000 0.5000
Nd1 Nd 0.3343 0.6657 0.0000
Tl2 Tl 0.1696 0.8304 0.5000
Se4 Se 0.7515 0.7515 0.2132
Se5 Se 0.9304 0.6111 0.7901
Mg1 Mg 0.0000 0.0000 0.0000
Nd2 Nd 0.6657 0.3343 0.0000
Se6 Se 0.2485 0.2485 0.7868
Tl3 Tl 0.8304 0.1696 0.5000
```

Properties
final energy = -4.3814 eV per atom
formation energy (no corrections) = -1120 meV/atom
magnetization = 0.00 μB per cell

=====

(9)
Entry from the Alexandria database: crystalline LaCo2P at its relaxed geometry (PBE-GGA).

Geometry as CIF:
```
data_LaCo2P
_chemical_formula_sum 'La1 Co2 P1'
_cell_length_a 4.1550
_cell_length_b 4.9462
_cell_length_c 4.1574
_cell_angle_alpha 65.58
_cell_angle_beta 89.08
_cell_angle_gamma 114.41
_symmetry_space_group_name_H-M 'P 1'
_symmetry_Int_Tables_number 1
_symmetry_space_group_name_Hall 'P 1'
loop_
_atom_site_label
_atom_site_type_symbol
_atom_site_fract_x
_atom_site_fract_y
_atom_site_fract_z
La1 La 0.0000 0.5000 0.5000
Co1 Co 0.0000 0.0000 0.0000
P1 P 0.5000 0.5000 0.0000
Co2 Co 0.5000 0.0000 0.5000
```

Properties
final energy = -6.1206 eV per atom
magnetization = 1.85 μB per cell

=====

(10)
Entry from the Alexandria database: crystalline Ta6Mo5Os at its relaxed geometry (PBE-GGA).

Geometry as CIF:
```
data_Ta6Mo5Os
_chemical_formula_sum 'Ta6 Mo5 Os1'
_cell_length_a 4.5488
_cell_length_b 6.4396
_cell_length_c 7.8975
_cell_angle_alpha 114.06
_cell_angle_beta 106.64
_cell_angle_gamma 90.00
_symmetry_space_group_name_H-M 'P 1'
_symmetry_Int_Tables_number 1
_symmetry_space_group_name_Hall 'P 1'
loop_
_atom_site_label
_atom_site_type_symbol
_atom_site_fract_x
_atom_site_fract_y
_atom_site_fract_z
Ta1 Ta 0.8339 0.0838 0.6675
Ta2 Ta 0.5000 0.2500 0.0000
Ta3 Ta 0.8339 0.5838 0.6675
Mo1 Mo 0.3332 0.3331 0.6662
Ta4 Ta 0.1661 0.4162 0.3325
Ta5 Ta 0.5000 0.7500 0.0000
Mo2 Mo 0.6668 0.6669 0.3338
Mo3 Mo 0.3348 0.8345 0.6690
Os1 Os 0.0000 0.0000 0.0000
Mo4 Mo 0.6652 0.1655 0.3310
Mo5 Mo 0.0000 0.5000 0.0000
Ta6 Ta 0.1661 0.9162 0.3325
```

Properties
final energy = -11.6553 eV per atom
magnetization = 0.00 μB per cell

=====

(11)
Entry from the Alexandria database: crystalline YErI5 at its relaxed geometry (PBE-GGA).

Geometry as CIF:
```
data_YErI5
_chemical_formula_sum 'Y2 Er2 I10'
_cell_length_a 4.0935
_cell_length_b 9.5145
_cell_length_c 15.5503
_cell_angle_alpha 90.24
_cell_angle_beta 90.00
_cell_angle_gamma 90.00
_symmetry_space_group_name_H-M 'P 1'
_symmetry_Int_Tables_number 1
_symmetry_space_group_name_Hall 'P 1'
loop_
_atom_site_label
_atom_site_type_symbol
_atom_site_fract_x
_atom_site_fract_y
_atom_site_fract_z
Y1 Y 0.2500 0.9134 0.8589
I1 I 0.7500 0.9714 0.7102
I2 I 0.2500 0.3290 0.1178
I3 I 0.2500 0.8633 0.0694
I4 I 0.7500 0.6710 0.8822
I5 I 0.7500 0.2838 0.4555
Er1 Er 0.7500 0.6495 0.6826
I6 I 0.2500 0.0286 0.2898
Y2 Y 0.7500 0.0866 0.1411
I7 I 0.2500 0.7162 0.5445
I8 I 0.7500 0.5808 0.2833
Er2 Er 0.2500 0.3505 0.3174
I9 I 0.7500 0.1367 0.9306
I10 I 0.2500 0.4192 0.7167
```

Properties
final energy = -3.9778 eV per atom
formation energy (no corrections) = -1295 meV/atom
magnetization = 1.98 μB per cell

=====

(12)
Entry from the Alexandria database: crystalline Rb2NpGaBr6 at its relaxed geometry (PBE-GGA).

Geometry as CIF:
```
data_Rb2NpGaBr6
_chemical_formula_sum 'Rb4 Np2 Ga2 Br12'
_cell_length_a 7.9762
_cell_length_b 8.4705
_cell_length_c 11.5096
_cell_angle_alpha 90.00
_cell_angle_beta 89.47
_cell_angle_gamma 90.00
_symmetry_space_group_name_H-M 'P 1'
_symmetry_Int_Tables_number 1
_symmetry_space_group_name_Hall 'P 1'
loop_
_atom_site_label
_atom_site_type_symbol
_atom_site_fract_x
_atom_site_fract_y
_atom_site_fract_z
Br1 Br 0.2073 0.1898 0.4482
Br2 Br 0.7927 0.8102 0.5518
Br3 Br 0.2927 0.6898 0.0518
Ga1 Ga 0.5000 0.0000 0.0000
Np1 Np 0.0000 0.5000 0.0000
Br4 Br 0.3173 0.7118 0.4495
Rb1 Rb 0.5255 0.5733 0.7497
Br5 Br 0.3982 0.9686 0.7410
Br6 Br 0.8173 0.7882 0.9495
Br7 Br 0.6018 0.0314 0.2590
Br8 Br 0.1827 0.2118 0.0505
Rb2 Rb 0.4745 0.4267 0.2503
Rb3 Rb 0.0255 0.9267 0.2497
Np2 Np 0.5000 0.0000 0.5000
Br9 Br 0.6827 0.2882 0.5505
Rb4 Rb 0.9745 0.0733 0.7503
Br10 Br 0.7073 0.3102 0.9482
Ga2 Ga 0.0000 0.5000 0.5000
Br11 Br 0.8982 0.5314 0.2410
Br12 Br 0.1018 0.4686 0.7590
```

Properties
final energy = -4.1624 eV per atom
formation energy (no corrections) = -1368 meV/atom
magnetization = 8.00 μB per cell